No. 1
# CaZnGa2 | Alexandria | GGA-PBE | optimized geometry
data_CaZnGa2
_symmetry_space_group_name_H-M 'P 1'
_symmetry_Int_Tables_number 1
_cell_length_a 5.907
_cell_length_b 5.907
_cell_length_c 5.907
_cell_angle_alpha 42.65
_cell_angle_beta 42.65
_cell_angle_gamma 42.65
loop_
_symmetry_equiv_pos_as_xyz
'x,y,z'
loop_
_atom_site_label
_atom_site_fract_x
_atom_site_fract_y
_atom_site_fract_z
Ca1 0.000 0.000 0.000
Zn1 0.500 0.500 0.500
Ga1 0.217 0.217 0.217
Ga2 0.783 0.783 0.783
# formation energy from the elements: -0.316 eV/atom
# calculated density: 4.745 g/cm³

***

No. 2
# CaZn3Ga | Alexandria | GGA-PBE | optimized geometry
data_CaZn3Ga
_symmetry_space_group_name_H-M 'P 1'
_symmetry_Int_Tables_number 1
_cell_length_a 5.627
_cell_length_b 5.627
_cell_length_c 5.627
_cell_angle_alpha 90.00
_cell_angle_beta 90.00
_cell_angle_gamma 90.00
loop_
_symmetry_equiv_pos_as_xyz
'x,y,z'
loop_
_atom_site_label
_atom_site_fract_x
_atom_site_fract_y
_atom_site_fract_z
Ca1 0.000 0.000 0.000
Zn1 0.000 0.000 0.500
Zn2 0.000 0.500 0.000
Zn3 0.500 0.000 0.000
Ga1 0.500 0.500 0.500
# formation energy from the elements: 0.814 eV/atom
# offset from the most stable computed form: 1106 meV/atom
# calculated density: 2.852 g/cm³

***

No. 3
# Ca2ZnGa | Alexandria | GGA-PBE | optimized geometry
data_Ca2ZnGa
_symmetry_space_group_name_H-M 'P 1'
_symmetry_Int_Tables_number 1
_cell_length_a 5.220
_cell_length_b 5.220
_cell_length_c 3.644
_cell_angle_alpha 90.00
_cell_angle_beta 90.00
_cell_angle_gamma 90.00
loop_
_symmetry_equiv_pos_as_xyz
'x,y,z'
loop_
_atom_site_label
_atom_site_fract_x
_atom_site_fract_y
_atom_site_fract_z
Ca1 0.000 0.500 0.000
Ca2 0.500 0.000 0.000
Zn1 0.000 0.000 0.500
Ga1 0.500 0.500 0.500
# formation energy from the elements: -0.349 eV/atom
# calculated density: 3.600 g/cm³

***

No. 4
# CaZnGa2 | Alexandria | GGA-PBE | optimized geometry
data_CaZnGa2
_symmetry_space_group_name_H-M 'P 1'
_symmetry_Int_Tables_number 1
_cell_length_a 7.387
_cell_length_b 4.237
_cell_length_c 10.747
_cell_angle_alpha 90.00
_cell_angle_beta 90.00
_cell_angle_gamma 90.00
loop_
_symmetry_equiv_pos_as_xyz
'x,y,z'
loop_
_atom_site_label
_atom_site_fract_x
_atom_site_fract_y
_atom_site_fract_z
Ca1 0.159 0.250 0.139
Ca2 0.341 0.750 0.639
Ca3 0.659 0.250 0.361
Ca4 0.841 0.750 0.861
Zn1 0.003 0.250 0.627
Zn2 0.497 0.750 0.127
Zn3 0.503 0.250 0.873
Zn4 0.997 0.750 0.373
Ga1 0.151 0.250 0.841
Ga2 0.211 0.250 0.436
Ga3 0.289 0.750 0.936
Ga4 0.349 0.750 0.341
Ga5 0.651 0.250 0.659
Ga6 0.711 0.250 0.064
Ga7 0.789 0.750 0.564
Ga8 0.849 0.750 0.159
# formation energy from the elements: -0.357 eV/atom
# calculated density: 4.836 g/cm³

***

No. 5
# Ca3Zn3Ga8 | Alexandria | GGA-PBE | optimized geometry
data_Ca3Zn3Ga8
_symmetry_space_group_name_H-M 'P 1'
_symmetry_Int_Tables_number 1
_cell_length_a 8.325
_cell_length_b 8.325
_cell_length_c 8.325
_cell_angle_alpha 149.43
_cell_angle_beta 109.13
_cell_angle_gamma 79.13
loop_
_symmetry_equiv_pos_as_xyz
'x,y,z'
loop_
_atom_site_label
_atom_site_fract_x
_atom_site_fract_y
_atom_site_fract_z
Ca1 0.000 0.000 0.000
Ca2 0.297 0.297 0.000
Ca3 0.703 0.703 0.000
Zn1 0.323 0.500 0.823
Zn2 0.500 0.000 0.500
Zn3 0.677 0.500 0.177
Ga1 0.018 0.653 0.365
Ga2 0.141 0.856 0.284
Ga3 0.288 0.653 0.635
Ga4 0.428 0.144 0.284
Ga5 0.572 0.856 0.716
Ga6 0.712 0.347 0.365
Ga7 0.859 0.144 0.716
Ga8 0.982 0.347 0.635
# formation energy from the elements: -0.365 eV/atom
# calculated density: 5.338 g/cm³

***

No. 6
# CaZn3Ga2 | Alexandria | GGA-PBE | optimized geometry
data_CaZn3Ga2
_symmetry_space_group_name_H-M 'P 1'
_symmetry_Int_Tables_number 1
_cell_length_a 8.041
_cell_length_b 8.041
_cell_length_c 7.835
_cell_angle_alpha 113.58
_cell_angle_beta 113.58
_cell_angle_gamma 29.74
loop_
_symmetry_equiv_pos_as_xyz
'x,y,z'
loop_
_atom_site_label
_atom_site_fract_x
_atom_site_fract_y
_atom_site_fract_z
Ca1 0.149 0.149 0.067
Ca2 0.851 0.851 0.933
Zn1 0.039 0.039 0.378
Zn2 0.315 0.315 0.547
Zn3 0.403 0.403 0.313
Zn4 0.597 0.597 0.687
Zn5 0.685 0.685 0.453
Zn6 0.961 0.961 0.622
Ga1 0.197 0.197 0.704
Ga2 0.478 0.478 0.829
Ga3 0.522 0.522 0.171
Ga4 0.803 0.803 0.296
# formation energy from the elements: -0.250 eV/atom
# calculated density: 5.455 g/cm³

***

no.,uncorrected energy (eV per atom)
1,-2.65
2,-0.96
3,-2.43
4,-2.69
5,-2.80
6,-2.23